# 1
Computed, not measured: a geometry-optimized KLiSn2P structure at the GGA-PBE level of DFT.

The structure in CIF format:
```
data_KLiSn2P
_space_group_name_H-M_alt 'P 4/m m m'
_space_group_IT_number 123
_space_group_name_Hall '-P 4 2'
_cell_length_a 5.867
_cell_length_b 5.867
_cell_length_c 5.526
_cell_angle_alpha 90.00
_cell_angle_beta 90.00
_cell_angle_gamma 90.00
loop_
_atom_site_label
_atom_site_fract_x
_atom_site_fract_y
_atom_site_fract_z
_atom_site_occupancy
K1 0.000 0.000 0.000 1
Li1 0.500 0.500 0.500 1
Sn1 0.000 0.500 0.000 1
P1 0.000 0.000 0.500 1
```

Properties
- E_form (kJ per mole of atoms) = 106.2
- mass density (g/cm3) = 2.7

# 2
Computed, not measured: a geometry-optimized Pm4Bi2Ir structure at the GGA-PBE level of DFT.

The structure in CIF format:
```
data_Pm4Bi2Ir
_space_group_name_H-M_alt 'I 4/m m m'
_space_group_IT_number 139
_space_group_name_Hall '-I 4 2'
_cell_length_a 5.345
_cell_length_b 5.345
_cell_length_c 16.823
_cell_angle_alpha 90.00
_cell_angle_beta 90.00
_cell_angle_gamma 90.00
loop_
_atom_site_label
_atom_site_fract_x
_atom_site_fract_y
_atom_site_fract_z
_atom_site_occupancy
Pm1 0.000 0.000 0.171 1
Pm2 0.000 0.500 0.000 1
Bi1 0.000 0.000 0.362 1
Ir1 0.000 0.000 0.000 1
```

Properties
- E_form (kJ per mole of atoms) = -55.7
- E above lowest polymorph (meV per atom) = 0
- mass density (g/cm3) = 8.2

# 3
Computed, not measured: a geometry-optimized HfFeBr3 structure at the GGA-PBE level of DFT.

The structure in CIF format:
```
data_HfFeBr3
_space_group_name_H-M_alt 'P m -3 m'
_space_group_IT_number 221
_space_group_name_Hall '-P 4 2 3'
_cell_length_a 5.280
_cell_length_b 5.280
_cell_length_c 5.280
_cell_angle_alpha 90.00
_cell_angle_beta 90.00
_cell_angle_gamma 90.00
loop_
_atom_site_label
_atom_site_fract_x
_atom_site_fract_y
_atom_site_fract_z
_atom_site_occupancy
Hf1 0.000 0.000 0.000 1
Fe1 0.500 0.500 0.500 1
Br1 0.000 0.000 0.500 1
```

Properties
- E above lowest polymorph (meV per atom) = 0
- mass density (g/cm3) = 5.3
- ΔE_f (raw) (meV/atom) = 106

# 4
Computed, not measured: a geometry-optimized LiCaBCl structure at the GGA-PBE level of DFT.

The structure in CIF format:
```
data_LiCaBCl
_space_group_name_H-M_alt 'P 1 m 1'
_space_group_IT_number 6
_space_group_name_Hall 'P -2y'
_cell_length_a 3.488
_cell_length_b 3.538
_cell_length_c 7.023
_cell_angle_alpha 90.00
_cell_angle_beta 104.24
_cell_angle_gamma 90.00
loop_
_atom_site_label
_atom_site_fract_x
_atom_site_fract_y
_atom_site_fract_z
_atom_site_occupancy
Li1 0.000 0.000 0.000 1
Ca1 0.782 0.500 0.559 1
B1 0.372 0.000 0.741 1
Cl1 0.122 0.500 0.236 1
```

Properties
- E above lowest polymorph (meV per atom) = 2
- mass density (g/cm3) = 1.8
- ΔE_f (raw) (meV/atom) = -259

# 5
Computed, not measured: a geometry-optimized Ho2Er3Sc structure at the GGA-PBE level of DFT.

The structure in CIF format:
```
data_Ho2Er3Sc
_space_group_name_H-M_alt 'C 1 2/c 1'
_space_group_IT_number 15
_space_group_name_Hall '-C 2yc'
_cell_length_a 17.000
_cell_length_b 6.947
_cell_length_c 6.014
_cell_angle_alpha 90.00
_cell_angle_beta 90.05
_cell_angle_gamma 90.00
loop_
_atom_site_label
_atom_site_fract_x
_atom_site_fract_y
_atom_site_fract_z
_atom_site_occupancy
Ho1 0.165 0.126 0.415 1
Er1 0.000 0.128 0.750 1
Er2 0.164 0.376 0.919 1
Sc1 0.000 0.377 0.250 1
```

Properties
- E_form (kJ per mole of atoms) = 3.6
- E above lowest polymorph (meV per atom) = 0
- mass density (g/cm3) = 8.2

# 6
Computed, not measured: a geometry-optimized Cu2H2Se structure at the GGA-PBE level of DFT.

The structure in CIF format:
```
data_Cu2H2Se
_space_group_name_H-M_alt 'C 1 2/m 1'
_space_group_IT_number 12
_space_group_name_Hall '-C 2y'
_cell_length_a 7.344
_cell_length_b 4.248
_cell_length_c 6.642
_cell_angle_alpha 90.00
_cell_angle_beta 105.23
_cell_angle_gamma 90.00
loop_
_atom_site_label
_atom_site_fract_x
_atom_site_fract_y
_atom_site_fract_z
_atom_site_occupancy
Cu1 0.158 0.000 0.464 1
H1 0.019 0.000 0.952 1
Se1 0.000 0.500 0.500 1
```

Properties
- E above lowest polymorph (meV per atom) = 0
- mass density (g/cm3) = 3.5